First-principles (PBE-GGA) data for a geometry-optimized Pr5AlGa4 structure, as listed in Alexandria via LeMat-Bulk.

The value obtained for the total energy is -4.478 eV/atom. The density of states at the Fermi level comes out at 4.79 states/eV/f.u. The total magnetic moment is 0.0 μB per cell.

The structure belongs to space group P4/mmm (No. 123); the cell edges are 3.732, 3.732 and 18.670 Å and the angles 90.00°, 90.00° and 90.00°. Symmetry generates all atoms from Pr at (0.000, 0.000, 0.000), Pr at (0.000, 0.000, 0.199), Pr at (0.000, 0.000, 0.398), Al at (0.500, 0.500, 0.500), Ga at (0.500, 0.500, 0.100) and Ga at (0.500, 0.500, 0.299).